No. 1
Compound: TaBeBr
Source: Alexandria via LeMat-Bulk
Functional: PBE-GGA
Structure: optimized geometry

Summary:
Its magnetization is 0.00 μB/f.u. For the polymorph energy (0 for the lowest one), the calculation gives 2.76 eV per formula unit.

Unit cell a=6.114 b=6.114 c=6.114 alpha=90.00 beta=90.00 gamma=90.00
Space group F-43m (No. 216)
One atom of each set of equivalent atoms:
Ta (0.000, 0.000, 0.000) (multiplicity 4)
Be (0.250, 0.250, 0.750) (multiplicity 4)
Br (0.250, 0.250, 0.250) (multiplicity 4)



No. 2
Compound: TaBeBr2
Source: Alexandria via LeMat-Bulk
Functional: PBE-GGA
Structure: optimized geometry

Summary:
Its magnetization is 1.03 μB/f.u. For the polymorph energy (0 for the lowest one), the calculation gives 4.63 eV per formula unit.

Unit cell a=3.738 b=3.738 c=11.102 alpha=90.00 beta=90.00 gamma=90.00
Space group I-4m2 (No. 119)
One atom of each set of equivalent atoms:
Ta (0.000, 0.000, 0.000) (multiplicity 2)
Be (0.000, 0.500, 0.750) (multiplicity 2)
Br (0.000, 0.000, 0.500) (multiplicity 2)
Br (0.000, 0.500, 0.250) (multiplicity 2)



No. 3
Compound: TaBe2Br
Source: Alexandria via LeMat-Bulk
Functional: PBE-GGA
Structure: optimized geometry

Summary:
Its magnetization is 0.00 μB/f.u. For the polymorph energy (0 for the lowest one), the calculation gives 2.27 eV per formula unit.

Unit cell a=3.653 b=3.653 c=8.643 alpha=90.00 beta=90.00 gamma=90.00
Space group I4/mmm (No. 139)
One atom of each set of equivalent atoms:
Ta (0.000, 0.000, 0.000) (multiplicity 2)
Be (0.000, 0.500, 0.250) (multiplicity 4)
Br (0.000, 0.000, 0.500) (multiplicity 2)



No. 4
Compound: TaBe2Br
Source: Alexandria via LeMat-Bulk
Functional: PBE-GGA
Structure: optimized geometry

Summary:
Its magnetization is 0.00 μB/f.u. For the polymorph energy (0 for the lowest one), the calculation gives 0.58 eV per formula unit.

Unit cell a=3.753 b=4.718 c=7.034 alpha=90.00 beta=90.00 gamma=90.00
Space group Cmmm (No. 65)
One atom of each set of equivalent atoms:
Ta (0.000, 0.000, 0.000) (multiplicity 2)
Be (0.000, 0.500, 0.232) (multiplicity 4)
Br (0.000, 0.000, 0.500) (multiplicity 2)



No. 5
Compound: TaBe2Br
Source: Alexandria via LeMat-Bulk
Functional: PBE-GGA
Structure: optimized geometry

Summary:
Its magnetization is 0.00 μB/f.u. For the polymorph energy (0 for the lowest one), the calculation gives 2.58 eV per formula unit.

Unit cell a=6.175 b=6.175 c=6.175 alpha=90.00 beta=90.00 gamma=90.00
Space group F-43m (No. 216)
One atom of each set of equivalent atoms:
Ta (0.000, 0.000, 0.000) (multiplicity 4)
Be (0.000, 0.000, 0.500) (multiplicity 4)
Be (0.250, 0.250, 0.750) (multiplicity 4)
Br (0.250, 0.250, 0.250) (multiplicity 4)



No. 6
Compound: TaBe2Br
Source: Alexandria via LeMat-Bulk
Functional: PBE-GGA
Structure: optimized geometry

Summary:
Its magnetization is 0.00 μB/f.u. For the polymorph energy (0 for the lowest one), the calculation gives 0.56 eV per formula unit.

Unit cell a=3.0702 b=3.0702 c=22.8465 alpha=90.00 beta=90.00 gamma=120.00
Space group R-3m (No. 166, hexagonal axes)
One atom of each set of equivalent atoms:
Ta (0.0000, 0.0000, 0.0000) (multiplicity 3)
Be (0.0000, 0.0000, 0.2459) (multiplicity 6)
Br (0.0000, 0.0000, 0.5000) (multiplicity 3)